A geometry-optimized Mg3Hg2Au2 structure. Source: the Alexandria database, functional PBE.

a b c (Å): 4.1581 3.3404 10.7026
angles (deg): 90.00 78.80 90.00
Closest atoms and distances in Å follow each position.
Atoms (fractional coordinates):
Au 0.7066 0.5000 0.5869  2 Au 2.77, 4 Mg 2.80, 1 Hg 2.82
Au 0.2934 0.5000 0.4131  2 Au 2.77, 4 Mg 2.80, 1 Hg 2.82
Mg 0.8336 0.0000 0.3328  4 Au 2.80
Mg 0.0000 0.0000 0.0000  8 Hg 3.07, 2 Mg 3.34
Mg 0.1664 0.0000 0.6672  4 Au 2.80
Hg 0.4279 0.5000 0.1442  1 Au 2.82, 1 Hg 3.03, 4 Mg 3.07
Hg 0.5721 0.5000 0.8558  1 Au 2.82, 1 Hg 3.03, 4 Mg 3.07

## Properties
ΔE_f: -0.3116 eV per atom
E_tot: -14.12 eV for the cell shown
Total moment: 0.0 μB per cell
Density: 9.88 g/cm3
Fermi-level density of states: 2.69 states/eV per cell